1.
Compound: Ba6AlZn
Source: Alexandria via LeMat-Bulk
Functional: PBE
Structure: relaxed

Structure (POSCAR):
```
Ba6AlZn
1.0
-2.997 2.997 10.971
2.997 -2.997 10.971
2.997 2.997 -10.971
Ba Al Zn
6 1 1
Direct
0.088 0.588 0.500
0.246 0.246 0.000
0.412 0.912 0.500
0.588 0.088 0.500
0.754 0.754 0.000
0.912 0.412 0.500
0.000 0.000 0.000
0.500 0.500 0.000
```

For the total energy, the calculation gives -17.1 eV per formula unit.

---

2.
Compound: LiLuZnGe
Source: Alexandria via LeMat-Bulk
Functional: PBE
Structure: relaxed

Structure (POSCAR):
```
LiLuZnGe
1.0
0.000 3.340 3.340
3.340 0.000 3.340
3.340 3.340 0.000
Li Lu Zn Ge
1 1 1 1
Direct
0.000 0.000 0.000
0.500 0.500 0.500
0.250 0.250 0.250
0.750 0.750 0.750
```

For the total energy, the calculation gives -14.0 eV per formula unit.

---

3.
Compound: Ti2InNi2
Source: Alexandria via LeMat-Bulk
Functional: PBE
Structure: relaxed

Structure (POSCAR):
```
Ti2InNi2
1.0
-1.632 1.632 7.838
1.632 -1.632 7.838
1.632 1.632 -7.838
Ti In Ni
2 1 2
Direct
0.129 0.129 0.000
0.871 0.871 0.000
0.500 0.500 0.000
0.250 0.750 0.500
0.750 0.250 0.500
```

For the total energy, the calculation gives -30.3 eV per formula unit.

---

4.
Compound: KCaRh2
Source: Alexandria via LeMat-Bulk
Functional: PBE
Structure: relaxed

Structure (POSCAR):
```
KCaRh2
1.0
4.279 0.000 0.000
0.000 4.279 0.000
0.000 0.000 4.517
K Ca Rh
1 1 2
Direct
0.000 0.000 0.000
0.500 0.500 0.000
0.000 0.500 0.500
0.500 0.000 0.500
```

The calculation puts the distance to the lowest polymorph of the same formula at 384 meV per atom.

---

5.
Compound: YZr2W
Source: Alexandria via LeMat-Bulk
Functional: PBE
Structure: relaxed

Structure (POSCAR):
```
YZr2W
1.0
3.460 0.000 0.000
0.000 3.460 0.000
0.000 0.000 7.716
Y Zr W
1 2 1
Direct
0.000 0.000 0.000
0.500 0.500 0.301
0.500 0.500 0.699
0.000 0.000 0.500
```

The calculation puts the distance to the lowest polymorph of the same formula at 0 meV per atom.

---

6.
Compound: LiScI2
Source: Alexandria via LeMat-Bulk
Functional: PBE
Structure: relaxed

Structure (POSCAR):
```
LiScI2
1.0
0.000 3.736 3.736
3.736 0.000 3.736
3.736 3.736 0.000
Li Sc I
1 1 2
Direct
0.000 0.000 0.000
0.500 0.500 0.500
0.250 0.250 0.250
0.750 0.750 0.750
```

The calculation puts the distance to the lowest polymorph of the same formula at 174 meV per atom. Its uncorrected formation energy is -0.538 eV per atom.

---

7.
Compound: Na2PuZnBi2
Source: Alexandria via LeMat-Bulk
Functional: PBE
Structure: relaxed

Structure (POSCAR):
```
Na2PuZnBi2
1.0
4.829 0.000 0.000
0.000 9.296 0.000
0.000 0.000 7.578
Na Pu Zn Bi
4 2 2 4
Direct
0.000 0.072 0.000
0.000 0.928 0.500
0.500 0.151 0.688
0.500 0.849 0.188
0.500 0.475 0.016
0.500 0.525 0.516
0.000 0.332 0.356
0.000 0.668 0.856
0.000 0.365 0.749
0.000 0.635 0.249
0.500 0.186 0.268
0.500 0.814 0.768
```

For the total energy, the calculation gives -27.7 eV per formula unit.

---

8.
Compound: CaInBr2Cl
Source: Alexandria via LeMat-Bulk
Functional: PBE
Structure: relaxed

Structure (POSCAR):
```
CaInBr2Cl
1.0
5.722 0.000 0.000
0.000 5.722 0.000
0.000 0.000 5.317
Ca In Br Cl
1 1 2 1
Direct
0.000 0.000 0.000
0.500 0.500 0.500
0.000 0.500 0.000
0.500 0.000 0.000
0.000 0.000 0.500
```

The calculation puts the distance to the lowest polymorph of the same formula at 44 meV per atom. Its uncorrected formation energy is -1.517 eV per atom.

---

Number 1: D(E_F) 9.4 states/eV/cell. Number 2: D(E_F) 1.1 states/eV/cell. Number 3: D(E_F) 4.8 states/eV/cell. Number 4: D(E_F) 6.4 states/eV/cell. Number 5: D(E_F) 5.6 states/eV/cell. Number 6: D(E_F) 2.0 states/eV/cell. Number 7: D(E_F) 26.1 states/eV/cell. Number 8: D(E_F) 0.0 states/eV/cell.